Ag2SbTeRh | GGA-PBE | relaxed

Structure (POSCAR):
```
Ag2SbTeRh
1.0
5.178 0.000 0.000
0.000 5.178 0.000
0.000 0.000 4.978
Ag Sb Te Rh
2 1 1 1
Direct
0.000 0.500 0.000
0.500 0.000 0.000
0.000 0.000 0.000
0.500 0.500 0.500
0.000 0.000 0.500
```

Values from the calculation:
* density: 7.07 Mg/m³
* electronic total energy: -3.41 eV per atom
* uncorrected formation energy: 0.652 eV per atom

***

AgSb2TeRh | GGA-PBE | relaxed

Structure (POSCAR):
```
AgSb2TeRh
1.0
5.231 0.000 0.000
0.000 5.231 0.000
0.000 0.000 5.351
Ag Sb Te Rh
1 2 1 1
Direct
0.000 0.000 0.000
0.000 0.500 0.000
0.500 0.000 0.000
0.000 0.000 0.500
0.500 0.500 0.500
```

Values from the calculation:
* density: 6.60 Mg/m³
* electronic total energy: -3.25 eV per atom
* E above lowest polymorph: 339 kJ/mol of formula units
* uncorrected formation energy: 1.071 eV per atom

***

AgSbTe2Rh | GGA-PBE | relaxed

Structure (POSCAR):
```
AgSbTe2Rh
1.0
5.364 0.000 0.000
0.000 5.364 0.000
0.000 0.000 5.208
Ag Sb Te Rh
1 1 2 1
Direct
0.000 0.000 0.000
0.000 0.000 0.500
0.000 0.500 0.000
0.500 0.000 0.000
0.500 0.500 0.500
```

Values from the calculation:
* density: 6.51 Mg/m³
* electronic total energy: -3.04 eV per atom
* E above lowest polymorph: 333 kJ/mol of formula units
* uncorrected formation energy: 1.078 eV per atom

***

AgSb2TeRh | GGA-PBE | relaxed

Structure (POSCAR):
```
AgSb2TeRh
1.0
5.024 0.000 0.000
0.000 5.024 0.000
0.000 0.000 5.625
Ag Sb Te Rh
1 2 1 1
Direct
0.000 0.000 0.000
0.000 0.500 0.500
0.500 0.000 0.500
0.500 0.500 0.000
0.500 0.500 0.500
```

Values from the calculation:
* density: 6.81 Mg/m³
* electronic total energy: -3.95 eV per atom
* E above lowest polymorph: 0 kJ/mol of formula units
* uncorrected formation energy: 0.369 eV per atom

***

AgSbTe2Rh | GGA-PBE | relaxed

Structure (POSCAR):
```
AgSbTe2Rh
1.0
5.400 0.000 0.000
0.000 5.400 0.000
0.000 0.000 4.930
Ag Sb Te Rh
1 1 2 1
Direct
0.000 0.000 0.000
0.500 0.500 0.000
0.000 0.500 0.500
0.500 0.000 0.500
0.500 0.500 0.500
```

Values from the calculation:
* density: 6.79 Mg/m³
* electronic total energy: -3.73 eV per atom
* E above lowest polymorph: 0 kJ/mol of formula units
* uncorrected formation energy: 0.388 eV per atom

***

Sc4AgRh3 | GGA-PBE | relaxed

Structure (POSCAR):
```
Sc4AgRh3
1.0
3.214 0.000 0.000
0.000 3.214 0.000
0.000 0.000 13.735
Sc Ag Rh
4 1 3
Direct
0.000 0.000 0.119
0.000 0.000 0.356
0.000 0.000 0.644
0.000 0.000 0.881
0.500 0.500 0.500
0.500 0.500 0.000
0.500 0.500 0.240
0.500 0.500 0.760
```

Values from the calculation:
* density: 6.98 Mg/m³
* electronic total energy: -7.11 eV per atom
* calculated formation energy: -0.832 eV per atom

***

Sc6AgRh2 | GGA-PBE | relaxed

Structure (POSCAR):
```
Sc6AgRh2
1.0
-4.372 4.408 4.864
4.372 -4.408 4.864
4.372 4.408 -4.864
Sc Ag Rh
12 2 4
Direct
0.030 0.829 0.202
0.241 0.542 0.300
0.241 0.941 0.700
0.284 0.317 0.600
0.284 0.683 0.967
0.373 0.171 0.202
0.627 0.829 0.798
0.716 0.317 0.033
0.716 0.683 0.400
0.759 0.059 0.300
0.759 0.458 0.700
0.970 0.171 0.798
0.000 0.500 0.500
0.500 0.000 0.500
0.000 0.166 0.166
0.000 0.834 0.834
0.363 0.363 0.000
0.637 0.637 0.000
```

Values from the calculation:
* density: 5.17 Mg/m³
* electronic total energy: -6.69 eV per atom
* calculated formation energy: -0.514 eV per atom

***

ScAgRh | GGA-PBE | relaxed

Structure (POSCAR):
```
ScAgRh
1.0
6.217 0.000 0.000
0.000 6.217 0.000
0.000 0.000 6.217
Sc Ag Rh
4 4 4
Direct
0.000 0.000 0.000
0.000 0.500 0.500
0.500 0.000 0.500
0.500 0.500 0.000
0.250 0.250 0.250
0.250 0.750 0.750
0.750 0.250 0.750
0.750 0.750 0.250
0.250 0.250 0.750
0.250 0.750 0.250
0.750 0.250 0.250
0.750 0.750 0.750
```

Values from the calculation:
* density: 7.07 Mg/m³
* electronic total energy: -5.54 eV per atom
* E above lowest polymorph: 127 kJ/mol of formula units
* calculated formation energy: -0.031 eV per atom

***

ScAgRh | GGA-PBE | relaxed

Structure (POSCAR):
```
ScAgRh
1.0
4.469 0.000 0.000
-2.234 3.870 0.000
0.000 0.000 3.020
Sc Ag Rh
1 1 1
Direct
0.000 0.000 0.000
0.667 0.333 0.370
0.333 0.667 0.746
```

Values from the calculation:
* density: 8.13 Mg/m³
* electronic total energy: -5.87 eV per atom
* E above lowest polymorph: 33 kJ/mol of formula units
* calculated formation energy: -0.356 eV per atom

***

ScAgRh | GGA-PBE | relaxed

Structure (POSCAR):
```
ScAgRh
1.0
3.334 0.000 0.000
0.000 3.334 0.000
0.000 0.000 20.446
Sc Ag Rh
4 4 4
Direct
0.000 0.000 0.119
0.000 0.000 0.881
0.500 0.500 0.381
0.500 0.500 0.619
0.000 0.000 0.290
0.000 0.000 0.710
0.500 0.500 0.210
0.500 0.500 0.790
0.000 0.000 0.437
0.000 0.000 0.563
0.500 0.500 0.063
0.500 0.500 0.937
```

Values from the calculation:
* density: 7.48 Mg/m³
* electronic total energy: -5.84 eV per atom
* E above lowest polymorph: 41 kJ/mol of formula units
* calculated formation energy: -0.331 eV per atom

***

ScAgRh2 | GGA-PBE | relaxed

Structure (POSCAR):
```
ScAgRh2
1.0
3.210 0.000 0.000
0.000 3.210 0.000
0.000 0.000 6.373
Sc Ag Rh
1 1 2
Direct
0.000 0.000 0.000
0.000 0.000 0.500
0.500 0.500 0.237
0.500 0.500 0.763
```

Values from the calculation:
* density: 9.07 Mg/m³
* electronic total energy: -6.34 eV per atom
* calculated formation energy: -0.367 eV per atom

***

Sc5Ag4Rh | GGA-PBE | relaxed

Structure (POSCAR):
```
Sc5Ag4Rh
1.0
3.379 0.000 0.000
0.000 3.379 0.000
0.000 0.000 17.091
Sc Ag Rh
5 4 1
Direct
0.000 0.000 0.000
0.000 0.000 0.206
0.000 0.000 0.411
0.000 0.000 0.589
0.000 0.000 0.794
0.500 0.500 0.102
0.500 0.500 0.307
0.500 0.500 0.693
0.500 0.500 0.898
0.500 0.500 0.500
```

Values from the calculation:
* density: 6.46 Mg/m³
* electronic total energy: -5.46 eV per atom
* calculated formation energy: -0.418 eV per atom

***

Sc2AgRh2 | GGA-PBE | relaxed

Structure (POSCAR):
```
Sc2AgRh2
1.0
7.678 0.000 0.000
0.000 7.678 0.000
0.000 0.000 3.045
Sc Ag Rh
4 2 4
Direct
0.149 0.351 0.000
0.351 0.851 0.000
0.649 0.149 0.000
0.851 0.649 0.000
0.000 0.000 0.000
0.500 0.500 0.000
0.148 0.648 0.500
0.352 0.148 0.500
0.648 0.852 0.500
0.852 0.352 0.500
```

Values from the calculation:
* density: 7.47 Mg/m³
* electronic total energy: -6.58 eV per atom
* E above lowest polymorph: 68 kJ/mol of formula units
* calculated formation energy: -0.534 eV per atom

***

ScAgRh | GGA-PBE | relaxed

Structure (POSCAR):
```
ScAgRh
1.0
3.141 0.000 0.000
-1.570 2.720 0.000
0.000 0.000 6.453
Sc Ag Rh
1 1 1
Direct
0.000 0.000 0.000
0.333 0.667 0.365
0.667 0.333 0.717
```

Values from the calculation:
* density: 7.70 Mg/m³
* electronic total energy: -5.72 eV per atom
* E above lowest polymorph: 76 kJ/mol of formula units
* calculated formation energy: -0.209 eV per atom